## AcZnAg2 (PBE-GGA)

Data for a relaxed structure of AcZnAg2.

Computed properties:
ρ, g cm⁻³: 8.62
Space-group type: Cmcm (63)
Spin magnetization, μB/f.u.: 0.0
Total DFT energy (no corrections), eV/atom: -3.035
ΔE_f, meV per atom: -263

Cell: 4.6492 4.3098 10.0062 Å, 102.44 90.00 90.00°
Closest atoms and distances in Å follow each position.
Sites, in units of the cell vectors:
Ag  0.2500  0.2539  0.5079  4 Zn 2.65-2.71
Ag  0.7500  0.4610  0.9220  1 Zn 2.65, 2 Ag 2.78
Ag  0.7500  0.7461  0.4921  4 Zn 2.65-2.71
Ag  0.2500  0.5390  0.0780  1 Zn 2.65, 2 Ag 2.78
Ac  0.7500  0.1079  0.2158  4 Zn 3.43, 10 Ag 3.44-3.68
Ac  0.2500  0.8921  0.7842  4 Zn 3.43, 10 Ag 3.44-3.68
Zn  0.2500  0.6747  0.3493  5 Ag 2.65-2.71
Zn  0.7500  0.3253  0.6507  5 Ag 2.65-2.71

## CaOs2Rh (PBE-GGA)

Data for a relaxed structure of CaOs2Rh.

Computed properties:
ρ, g cm⁻³: 12.48
Space-group type: Pmm2 (25)
Spin magnetization, μB/f.u.: 0.0
Total DFT energy (no corrections), eV/atom: -7.671
Energy relative to the lowest polymorph listed for this composition, meV/atom: 65
ΔE_f, meV per atom: 282

Cell: 2.8100 3.7944 6.5336 Å, 90.00 90.00 90.00°
Closest atoms and distances in Å follow each position.
Sites, in units of the cell vectors:
Os  0.5000  0.5000  0.2324  6 Os 2.60-2.81, 4 Rh 2.80
Os  0.0000  0.0000  0.0644  6 Os 2.60-2.81, 1 Rh 2.61
Ca  0.5000  0.5000  0.7391  2 Ca 2.81, 4 Rh 2.97
Rh  0.0000  0.0000  0.4641  5 Os 2.61-2.80, 2 Rh 2.81

## CrPt2Se (PBE-GGA)

Data for a relaxed structure of CrPt2Se.

Computed properties:
ρ, g cm⁻³: 13.46
Space-group type: I4/mmm (139)
Spin magnetization, μB/f.u.: 3.1
Total DFT energy (no corrections), eV/atom: -6.225

Cell: 5.0272 5.0272 5.0272 Å, 134.18 134.18 66.80°
Closest atoms and distances in Å follow each position.
Sites, in units of the cell vectors:
Cr  0.7500  0.2500  0.5000  4 Se 2.77, 8 Pt 2.87
Se  0.2500  0.7500  0.5000  4 Cr 2.77, 8 Pt 2.87
Pt  0.5000  0.5000  0.0000  4 Pt 2.77, 4 Cr 2.87, 4 Se 2.87
Pt  0.0000  0.0000  0.0000  4 Pt 2.77, 4 Se 2.87, 4 Cr 2.87

## Ga3GeB (PBE-GGA)

Data for a relaxed structure of Ga3GeB.

Computed properties:
ρ, g cm⁻³: 5.72
Space-group type: Pm-3m (221)
Spin magnetization, μB/f.u.: 0.0
Total DFT energy (no corrections), eV/atom: -3.634
Energy relative to the lowest polymorph listed for this composition, meV/atom: 0
ΔE_f, meV per atom: 441

Cell: 4.3956 4.3956 4.3956 Å, 90.00 90.00 90.00°
Closest atoms and distances in Å follow each position.
Sites, in units of the cell vectors:
Ge  0.5000  0.5000  0.5000  12 Ga 3.11
Ga  0.0000  0.0000  0.5000  2 B 2.20
Ga  0.0000  0.5000  0.0000  2 B 2.20
Ga  0.5000  0.0000  0.0000  2 B 2.20
B  0.0000  0.0000  0.0000  6 Ga 2.20

## Pr4Co2Cu5 (PBE-GGA)

Data for a relaxed structure of Pr4Co2Cu5.

Computed properties:
ρ, g cm⁻³: 7.34
Space-group type: P2/m (10)
Spin magnetization, μB/f.u.: 0.4
Total DFT energy (no corrections), eV/atom: -4.979
ΔE_f, meV per atom: -87

Cell: 4.1183 6.8750 7.9824 Å, 90.37 90.00 90.00°
Closest atoms and distances in Å follow each position.
Sites, in units of the cell vectors:
Cu  0.0000  0.1386  0.1153  1 Co 2.45, 2 Cu 2.64-2.66
Cu  0.0000  0.5790  0.3589  1 Co 2.48, 1 Cu 2.51
Cu  0.0000  0.8614  0.8847  1 Co 2.45, 2 Cu 2.64-2.66
Cu  0.0000  0.4210  0.6411  1 Co 2.48, 1 Cu 2.51
Cu  0.0000  0.5000  0.0000  4 Cu 2.66-2.91
Co  0.0000  0.9392  0.3689  1 Co 2.25, 2 Cu 2.45-2.48
Co  0.0000  0.0608  0.6311  1 Co 2.25, 2 Cu 2.45-2.48
Pr  0.5000  0.2228  0.8547  2 Co 2.94, 8 Cu 2.99-3.24
Pr  0.5000  0.2473  0.3808  4 Co 2.96-3.15, 6 Cu 3.04-3.15
Pr  0.5000  0.7772  0.1453  2 Co 2.94, 8 Cu 2.99-3.24
Pr  0.5000  0.7527  0.6192  4 Co 2.96-3.15, 6 Cu 3.04-3.15

## LiScP2 (PBE-GGA)

Data for a relaxed structure of LiScP2.

Computed properties:
ρ, g cm⁻³: 2.96
Space-group type: Immm (71)
Spin magnetization, μB/f.u.: 0.0
Total DFT energy (no corrections), eV/atom: -5.417
Energy relative to the lowest polymorph listed for this composition, meV/atom: 172
ΔE_f, meV per atom: -651

Cell: 4.6575 4.6575 4.6575 Å, 126.18 125.78 79.92°
Closest atoms and distances in Å follow each position.
Sites, in units of the cell vectors:
Sc  0.7500  0.2500  0.5000  8 P 2.76-2.77, 4 Li 2.99
Li  0.2500  0.7500  0.5000  8 P 2.76-2.77, 4 Sc 2.99
P  0.4997  0.4997  0.0000  4 Li 2.76-2.77, 4 Sc 2.76-2.77, 4 P 2.99
P  0.0003  0.0003  0.0000  4 Li 2.76-2.77, 4 Sc 2.76-2.77, 4 P 2.99

## SnI (PBE-GGA)

Data for a relaxed structure of SnI.

Computed properties:
ρ, g cm⁻³: 3.90
Space-group type: F-43m (216)
Spin magnetization, μB/f.u.: 0.0
Total DFT energy (no corrections), eV/atom: -2.468

Cell: 7.4781 7.4781 7.4781 Å, 90.00 90.00 90.00°
Closest atoms and distances in Å follow each position.
Sites, in units of the cell vectors:
Sn  0.7500  0.2500  0.7500  4 I 3.24
Sn  0.2500  0.7500  0.7500  4 I 3.24
Sn  0.7500  0.7500  0.2500  4 I 3.24
Sn  0.2500  0.2500  0.2500  4 I 3.24
I  0.5000  0.5000  0.0000  4 Sn 3.24
I  0.5000  0.0000  0.5000  4 Sn 3.24
I  0.0000  0.5000  0.5000  4 Sn 3.24
I  0.0000  0.0000  0.0000  4 Sn 3.24

## Mn2S (PBE-GGA)

Data for a relaxed structure of Mn2S.

Computed properties:
ρ, g cm⁻³: 6.35
Space-group type: Amm2 (38)
Spin magnetization, μB/f.u.: 3.9
Total DFT energy (no corrections), eV/atom: -7.586

Cell: 2.9716 3.0579 8.1637 Å, 90.00 90.00 90.00°
Closest atoms and distances in Å follow each position.
Sites, in units of the cell vectors:
Mn  0.0000  0.0000  0.4221  4 S 2.27
Mn  0.0000  0.5000  0.9221  4 S 2.27
Mn  0.5000  0.0000  0.1273  3 S 2.23-2.45
Mn  0.5000  0.5000  0.6273  3 S 2.23-2.45
S  0.5000  0.5000  0.3267  7 Mn 2.23-2.45
S  0.5000  0.0000  0.8267  7 Mn 2.23-2.45